# 1
First-principles (SCAN) data for YZnRu at its PBEsol-relaxed geometry, as listed in Alexandria via LeMat-Bulk.

Cell and atoms, written as CIF:
```
data_YZnRu
_chemical_formula_sum 'Y1 Zn1 Ru1'
_cell_length_a 3.365
_cell_length_b 3.365
_cell_length_c 5.244
_cell_angle_alpha 108.72
_cell_angle_beta 108.72
_cell_angle_gamma 90.00
_symmetry_space_group_name_H-M 'P 1'
_symmetry_Int_Tables_number 1
_symmetry_space_group_name_Hall 'P 1'
loop_
_atom_site_label
_atom_site_type_symbol
_atom_site_fract_x
_atom_site_fract_y
_atom_site_fract_z
_atom_site_occupancy
Zn1 Zn 0.639 0.639 0.278 1
Ru1 Ru 0.022 0.022 0.045 1
Y1 Y 0.339 0.339 0.678 1
```

Values from the calculation:
ΔE_f: -0.313 eV/atom
Total magnetization: 0.0 μB/cell
E: -25.71 eV per atom
Density: 8.01 Mg/m³
Volume: 52.9 Å³ per cell



# 2
First-principles (SCAN) data for Y4ZrRu at its PBEsol-relaxed geometry, as listed in Alexandria via LeMat-Bulk.

Cell and atoms, written as CIF:
```
data_Y4ZrRu
_chemical_formula_sum 'Y4 Zr1 Ru1'
_cell_length_a 5.955
_cell_length_b 5.955
_cell_length_c 5.955
_cell_angle_alpha 60.00
_cell_angle_beta 60.00
_cell_angle_gamma 60.00
_symmetry_space_group_name_H-M 'P 1'
_symmetry_Int_Tables_number 1
_symmetry_space_group_name_Hall 'P 1'
loop_
_atom_site_label
_atom_site_type_symbol
_atom_site_fract_x
_atom_site_fract_y
_atom_site_fract_z
_atom_site_occupancy
Y1 Y 0.374 0.374 0.876 1
Y2 Y 0.374 0.876 0.374 1
Y3 Y 0.876 0.374 0.374 1
Y4 Y 0.374 0.374 0.374 1
Ru1 Ru 0.000 0.000 0.000 1
Zr1 Zr 0.750 0.750 0.750 1
```

Values from the calculation:
ΔE_f: 0.821 eV/atom
Total magnetization: 0.0 μB/cell
E: -28.66 eV per atom
Density: 6.09 Mg/m³
Volume: 149.3 Å³ per cell



# 3
First-principles (SCAN) data for YZrRu2 at its PBEsol-relaxed geometry, as listed in Alexandria via LeMat-Bulk.

Cell and atoms, written as CIF:
```
data_YZrRu2
_chemical_formula_sum 'Y1 Zr1 Ru2'
_cell_length_a 3.273
_cell_length_b 3.273
_cell_length_c 6.653
_cell_angle_alpha 90.00
_cell_angle_beta 90.00
_cell_angle_gamma 90.00
_symmetry_space_group_name_H-M 'P 1'
_symmetry_Int_Tables_number 1
_symmetry_space_group_name_Hall 'P 1'
loop_
_atom_site_label
_atom_site_type_symbol
_atom_site_fract_x
_atom_site_fract_y
_atom_site_fract_z
_atom_site_occupancy
Ru1 Ru 0.000 0.000 0.268 1
Ru2 Ru 0.000 0.000 0.732 1
Zr1 Zr 0.500 0.500 0.500 1
Y1 Y 0.500 0.500 0.000 1
```

Values from the calculation:
ΔE_f: -0.631 eV/atom
Total magnetization: 0.0 μB/cell
E: -32.68 eV per atom
Density: 8.90 Mg/m³
Volume: 71.3 Å³ per cell